A plane-wave DFT calculation with PBEsol was carried out for a relaxed BaHg3Pd crystal.

Summary:
symmetry	No. 221
final energy	-11.63	eV/f.u.
D(E_F)	2.9	states/eV/f.u.
formation energy	-365	meV per atom

Cell lengths 5.199, 5.199, 5.199 Å; angles 90.00, 90.00, 90.00 degrees
Fractional positions:
Hg  0.000  0.500  0.000
Hg  0.000  0.000  0.500
Hg  0.500  0.000  0.000
Pd  0.000  0.000  0.000
Ba  0.500  0.500  0.500